(1)
A relaxed PmPrBiPb crystal, computed with PBE-GGA.

Cell and atoms, written as POSCAR:
```
PmPrBiPb
1.0
4.5948 0.0000 0.0000
0.0000 4.5950 0.2682
0.0000 -0.3894 6.4793
Pm Pr Bi Pb
1 1 1 1
direct
0.5000 0.3915 0.5926
0.0000 0.8915 0.0923
0.5000 0.3915 0.0926
0.0000 0.8915 0.5923
```

Its symmetry is P2/m (10). For the theoretical density, the calculation gives 8.49 g/cm3. The density of states at the Fermi level comes out at 2.94 states/eV/cell. Its energy of formation from the pure elements is -2.71 eV per formula unit. The value obtained for the calculated total energy is -19.8 eV for the cell shown. The spin magnetization is 0.00 μB/f.u.

(2)
A relaxed Pm3GeSb2Rh9 crystal, computed with PBE-GGA.

Cell and atoms, written as POSCAR:
```
Pm3GeSb2Rh9
1.0
6.6844 0.0000 0.0000
-3.3422 5.7889 0.0000
0.0000 0.0000 8.6600
Pm Ge Sb Rh
3 1 2 9
direct
0.3333 0.6667 0.7361
0.0000 0.0000 0.0000
0.6667 0.3333 0.2639
0.0000 0.0000 0.5000
0.3333 0.6667 0.2003
0.6667 0.3333 0.7997
0.8684 0.1316 0.7222
0.8684 0.7367 0.7222
0.2633 0.1316 0.7222
0.7367 0.8684 0.2778
0.1316 0.2633 0.2778
0.1316 0.8684 0.2778
0.5000 0.0000 0.0000
0.0000 0.5000 0.0000
0.5000 0.5000 0.0000
```

Its symmetry is P-3m1 (164). For the theoretical density, the calculation gives 8.31 g/cm3. The density of states at the Fermi level comes out at 4.65 states/eV/cell. The value obtained for the calculated total energy is -97.4 eV for the cell shown. The spin magnetization is 0.00 μB/f.u.

(3)
A relaxed Na2ScSnF crystal, computed with PBE-GGA.

Cell and atoms, written as POSCAR:
```
Na2ScSnF
1.0
4.4394 0.0000 0.0000
0.0000 4.4394 0.0000
0.0000 0.0000 5.0216
Sc Na Sn F
1 2 1 1
direct
0.0000 0.0000 0.5000
0.0000 0.5000 0.0000
0.5000 0.0000 0.0000
0.5000 0.5000 0.5000
0.0000 0.0000 0.0000
```

Its symmetry is P4/mmm (123). For the theoretical density, the calculation gives 3.84 g/cm3. The density of states at the Fermi level comes out at 0.68 states/eV/cell. The value obtained for the calculated total energy is -20.7 eV for the cell shown. The spin magnetization is 0.00 μB/f.u.

(4)
A relaxed YW crystal, computed with PBE-GGA.

Cell and atoms, written as POSCAR:
```
YW
1.0
-1.2987 -7.9045 3.4923
5.5440 1.9469 6.4682
-6.6288 3.1769 4.7254
Y W
8 8
direct
0.2129 0.2129 0.2129
0.2129 0.7871 0.7871
0.7871 0.2129 0.7871
0.7871 0.7871 0.2129
0.7129 0.7129 0.7129
0.7129 0.2871 0.2871
0.2871 0.7129 0.2871
0.2871 0.2871 0.7129
0.3973 0.3973 0.3973
0.3973 0.6027 0.6027
0.6027 0.3973 0.6027
0.6027 0.6027 0.3973
0.8973 0.8973 0.8973
0.8973 0.1027 0.1027
0.1027 0.8973 0.1027
0.1027 0.1027 0.8973
```

Its symmetry is I-43m (217). For the theoretical density, the calculation gives 5.43 g/cm3. The density of states at the Fermi level comes out at 25.52 states/eV/cell. Its energy of formation from the pure elements is 3.52 eV per formula unit. The value obtained for the calculated total energy is -127.2 eV for the cell shown. The spin magnetization is 0.75 μB/f.u.